This record from Alexandria describes a relaxed Th3Cd crystal. The functional is GGA-PBE.

Results
volume: 30.2 Å³ per atom
E_form: -0.04 eV/f.u.

Lattice parameters (Å, degrees): 4.9422 4.9422 4.9422 90.00 90.00 90.00
Closest atoms and distances in Å follow each position.
Element x y z (fractional)
Th: 0.0000 0.0000 0.5000  4 Cd 3.49, 8 Th 3.49
Th: 0.0000 0.5000 0.0000  4 Cd 3.49, 8 Th 3.49
Th: 0.5000 0.0000 0.0000  4 Cd 3.49, 8 Th 3.49
Cd: 0.5000 0.5000 0.5000  12 Th 3.49

***

This record from Alexandria describes a relaxed Th5Cd crystal. The functional is GGA-PBE.

Results
volume: 31.0 Å³ per atom
E_form: 0.24 eV/f.u.

Lattice parameters (Å, degrees): 9.2560 9.2560 3.5787 90.00 90.00 142.66
Closest atoms and distances in Å follow each position.
Element x y z (fractional)
Th: 0.0000 0.0000 0.0000  4 Cd 3.46, 6 Th 3.47-3.58
Th: 0.1693 0.8307 0.5000  10 Th 3.47-3.58
Th: 0.3412 0.6588 0.0000  2 Cd 3.31, 8 Th 3.47-3.58
Th: 0.6588 0.3412 0.0000  2 Cd 3.31, 8 Th 3.47-3.58
Th: 0.8307 0.1693 0.5000  10 Th 3.47-3.58
Cd: 0.5000 0.5000 0.5000  8 Th 3.31-3.46, 2 Cd 3.58

***

> Look up the volume of the first one.

30.2 Å³ per atom

***

> Which value of volume does entry 2 give?

31.0 Å³ per atom

***

> Among the records above, which one has the lowest volume?

Th3Cd